VASP calculation (PBE) on a geometry-optimized TbNdPuSc structure.

As for the density of states at the Fermi level: 12.11 states/eV/f.u. For the energy of formation from the pure elements, the calculation gives 206 meV/atom. The value obtained for the volume is 29.69 Å³ per atom. As for the space-group type: F-43m. The calculated total energy comes out at -7.3095 eV per atom.

Lattice parameters (Å, degrees): 5.517 5.517 5.517 60.00 60.00 60.00
Fractional positions:
Sc 0.000 0.000 0.000
Nd 0.750 0.750 0.750
Tb 0.250 0.250 0.250
Pu 0.500 0.500 0.500